Record 1
A geometry-optimized MgBeSi2 structure, computed with GGA-PBE.

Calculated values
Offset from the most stable computed form: 16 meV/atom
Spin magnetization: 0.00 μB/atom
Raw formation energy: 2.7 kcal/mol of atoms
DOS at the Fermi energy: 0.83 states/eV/f.u.

```
MgBeSi2
1.0
5.2781 0.0000 0.0000
-1.3141 5.2197 0.0000
-1.6231 -2.8510 4.5413
Mg Be Si
2 2 4
Cartesian
0.0000 0.0000 0.0000
1.2114 2.8356 1.2577
2.7475 0.4043 0.9730
3.5998 -0.1902 3.0501
-1.3914 3.4843 2.3396
-0.4118 1.6747 3.5619
1.3271 0.1731 2.6611
3.7989 2.2563 0.2939
```

---

Record 2
A geometry-optimized Cs2SnBCl6 structure, computed with GGA-PBE.

Calculated values
Spin magnetization: 0.00 μB/atom
Raw formation energy: -22.6 kcal/mol of atoms
DOS at the Fermi energy: 3.82 states/eV/f.u.

```
Cs2SnBCl6
1.0
-3.9929 3.9929 4.9391
3.9929 -3.9929 4.9391
3.9929 3.9929 -4.9391
Cs Sn B Cl
2 1 1 6
Cartesian
3.9929 0.0000 2.4695
0.0000 3.9929 2.4695
0.0000 0.0000 0.0000
0.0000 0.0000 4.9391
1.9836 1.9836 0.0000
2.0093 -2.0093 4.9391
0.0000 0.0000 3.1625
0.0000 0.0000 6.7157
-2.0093 2.0093 4.9391
2.0093 2.0093 4.9391
```

---

> The lowest DOS at the Fermi energy belongs to which entry?

MgBeSi2